First-principles (PBE) data for crystalline Sb2PbBr at its relaxed geometry, as listed in Alexandria.

Results
space group = Immm, No. 71
raw formation energy = -0.08 eV per atom
energy above the most stable polymorph in this dataset = 0.085 eV per atom
final energy = -13.943 eV per cell

Structure (extended XYZ):
```
4
Lattice="-1.819 2.501 6.811 1.819 -2.501 6.811 1.819 2.501 -6.811" Properties=species:S:1:pos:R:3 pbc="T T T"
Sb 0.000 0.000 2.944
Sb 0.000 0.000 10.678
Pb 1.819 0.000 0.000
Br 0.000 2.501 0.000
```

***

First-principles (PBE) data for crystalline SbPb3Br at its relaxed geometry, as listed in Alexandria.

Results
space group = P2_1/c, No. 14
raw formation energy = -0.14 eV per atom
energy above the most stable polymorph in this dataset = 0.000 eV per atom
final energy = -70.562 eV per cell

Structure (extended XYZ):
```
20
Lattice="9.263 0.000 0.000 0.000 7.157 0.000 -4.930 0.000 10.650" Properties=species:S:1:pos:R:3 pbc="T T T"
Sb -1.059 1.687 4.647
Sb -3.524 1.892 9.972
Sb 7.857 5.266 0.678
Sb 5.392 5.470 6.003
Pb -0.109 0.782 1.798
Pb -2.574 2.797 7.123
Pb 1.654 4.467 1.148
Pb -0.811 6.270 6.473
Pb 0.948 4.153 4.437
Pb -1.517 6.583 9.762
Pb 5.850 0.575 0.888
Pb 3.385 3.004 6.213
Pb 5.144 0.888 4.177
Pb 2.679 2.691 9.502
Pb 6.907 4.361 3.527
Pb 4.442 6.375 8.852
Br -0.143 3.888 8.585
Br 2.322 6.848 3.260
Br 2.012 0.309 7.390
Br 4.477 3.269 2.065
```

***

First-principles (PBE) data for crystalline Sb2PbBr at its relaxed geometry, as listed in Alexandria.

Results
space group = Cmm2, No. 35
raw formation energy = -0.03 eV per atom
energy above the most stable polymorph in this dataset = 0.139 eV per atom
final energy = -13.727 eV per cell

Structure (extended XYZ):
```
4
Lattice="1.961 -2.976 0.000 1.961 2.976 0.000 0.000 0.000 10.394" Properties=species:S:1:pos:R:3 pbc="T T T"
Sb 0.000 0.000 0.000
Sb 1.961 0.000 2.186
Pb 1.961 0.000 7.323
Br 0.000 0.000 5.055
```

***

First-principles (PBE) data for crystalline SbPbBr4 at its relaxed geometry, as listed in Alexandria.

Results
space group = F-43m, No. 216
raw formation energy = 0.43 eV per atom
final energy = -11.942 eV per cell

Structure (extended XYZ):
```
6
Lattice="0.000 4.459 4.459 4.459 0.000 4.459 4.459 4.459 0.000" Properties=species:S:1:pos:R:3 pbc="T T T"
Sb 0.000 0.000 0.000
Pb 2.230 2.230 2.230
Br 5.577 3.341 3.341
Br 3.341 5.577 3.341
Br 3.341 3.341 5.577
Br 5.577 5.577 5.577
```

***

Q: Look up the final energy of the first one.
A: -13.943 eV per cell

***

Repeat the fourth record exactly.
First-principles (PBE) data for crystalline SbPbBr4 at its relaxed geometry, as listed in Alexandria.

Results
space group = F-43m, No. 216
raw formation energy = 0.43 eV per atom
final energy = -11.942 eV per cell

Structure (extended XYZ):
```
6
Lattice="0.000 4.459 4.459 4.459 0.000 4.459 4.459 4.459 0.000" Properties=species:S:1:pos:R:3 pbc="T T T"
Sb 0.000 0.000 0.000
Pb 2.230 2.230 2.230
Br 5.577 3.341 3.341
Br 3.341 5.577 3.341
Br 3.341 3.341 5.577
Br 5.577 5.577 5.577
```

***

Q: Look up the raw formation energy of the third one.
A: -0.03 eV per atom